*one*
DFT (PBE-GGA) results for Mn2Co2Ir after structural relaxation.

For the density of states at the Fermi level, the calculation gives 6.388 states/eV/f.u. The value obtained for the volume is 59 Å³/f.u.

The structure belongs to space group P4/mbm (No. 127); the cell edges are 6.591, 6.591 and 2.710 Å and the angles 90.00°, 90.00° and 90.00°. The inequivalent atoms are Mn at (0.172, 0.328, 0.000), Co at (0.125, 0.625, 0.500) and Ir at (0.000, 0.000, 0.500).

---

*two*
DFT (PBE-GGA) results for Mn2Co2Ir after structural relaxation.

For the density of states at the Fermi level, the calculation gives 5.641 states/eV/f.u. The value obtained for the volume is 61 Å³/f.u.

The structure belongs to space group I4/mmm (No. 139); the cell edges are 3.498, 3.498 and 9.942 Å and the angles 90.00°, 90.00° and 90.00°. The inequivalent atoms are Mn at (0.000, 0.000, 0.100), Co at (0.000, 0.500, 0.250) and Ir at (0.000, 0.000, 0.500).

---

Quick one: least stable of them? *two*

---

*one*
DFT (PBE-GGA) results for MnCoIr4 after structural relaxation.

For the density of states at the Fermi level, the calculation gives 9.641 states/eV/f.u. The value obtained for the volume is 96 Å³/f.u.

The structure belongs to space group F-43m (No. 216); the cell edges are 7.271, 7.271 and 7.271 Å and the angles 90.00°, 90.00° and 90.00°. The inequivalent atoms are Mn at (0.000, 0.000, 0.000), Co at (0.250, 0.250, 0.250) and Ir at (0.125, 0.125, 0.625).

---

*two*
DFT (PBE-GGA) results for MnCoIr4 after structural relaxation.

For the density of states at the Fermi level, the calculation gives 6.332 states/eV/f.u. The value obtained for the volume is 83 Å³/f.u.

The structure belongs to space group Pmma (No. 51); the cell edges are 8.505, 2.705 and 7.198 Å and the angles 90.00°, 90.00° and 90.00°. The inequivalent atoms are Mn at (0.250, 0.000, 0.189), Co at (0.250, 0.000, 0.541), Ir at (0.000, 0.000, 0.000), Ir at (0.027, 0.500, 0.326) and Ir at (0.250, 0.500, 0.863).

---

Quick one: least stable of them? *one*

---

*one*
DFT (PBE-GGA) results for MnCoIr3 after structural relaxation.

For the density of states at the Fermi level, the calculation gives 13.560 states/eV/f.u. The value obtained for the volume is 85 Å³/f.u.

The structure belongs to space group Pm-3m (No. 221); the cell edges are 4.392, 4.392 and 4.392 Å and the angles 90.00°, 90.00° and 90.00°. The inequivalent atoms are Mn at (0.000, 0.000, 0.000), Co at (0.500, 0.500, 0.500) and Ir at (0.000, 0.500, 0.500).

---

*two*
DFT (PBE-GGA) results for MnCoIr3 after structural relaxation.

For the density of states at the Fermi level, the calculation gives 7.605 states/eV/f.u. The value obtained for the volume is 68 Å³/f.u.

The structure belongs to space group Cmcm (No. 63); the cell edges are 3.998, 12.718 and 5.328 Å and the angles 90.00°, 90.00° and 90.00°. The inequivalent atoms are Mn at (0.000, 0.188, 0.250), Co at (0.000, 0.002, 0.750), Ir at (0.000, 0.200, 0.750) and Ir at (0.000, 0.397, 0.503).

---

Quick one: least stable of them? *one*

---

*one*
DFT (PBE-GGA) results for MnCoIrW after structural relaxation.

For the density of states at the Fermi level, the calculation gives 3.425 states/eV/f.u. The value obtained for the volume is 57 Å³/f.u.

The structure belongs to space group F-43m (No. 216); the cell edges are 6.093, 6.093 and 6.093 Å and the angles 90.00°, 90.00° and 90.00°. The inequivalent atoms are Mn at (0.000, 0.000, 0.000), Co at (0.250, 0.250, 0.750), Ir at (0.250, 0.250, 0.250) and W at (0.000, 0.000, 0.500).

---

*two*
DFT (PBE-GGA) results for MnCoIrW after structural relaxation.

For the density of states at the Fermi level, the calculation gives 2.498 states/eV/f.u. The value obtained for the volume is 52 Å³/f.u.

The structure belongs to space group Pmmm (No. 47); the cell edges are 3.678, 3.766 and 3.778 Å and the angles 90.00°, 90.00° and 90.00°. The inequivalent atoms are Mn at (0.000, 0.000, 0.000), Co at (0.000, 0.500, 0.500), Ir at (0.500, 0.000, 0.500) and W at (0.500, 0.500, 0.000).

---

Quick one: least stable of them? *one*

---

*one*
DFT (PBE-GGA) results for CoMo2Ir2 after structural relaxation.

For the density of states at the Fermi level, the calculation gives 6.796 states/eV/f.u. The value obtained for the volume is 78 Å³/f.u.

The structure belongs to space group P4/mbm (No. 127); the cell edges are 7.466, 7.466 and 2.794 Å and the angles 90.00°, 90.00° and 90.00°. The inequivalent atoms are Co at (0.000, 0.000, 0.000), Mo at (0.169, 0.331, 0.500) and Ir at (0.128, 0.628, 0.000).

---

*two*
DFT (PBE-GGA) results for CoMo2Ir2 after structural relaxation.

For the density of states at the Fermi level, the calculation gives 5.399 states/eV/f.u. The value obtained for the volume is 76 Å³/f.u.

The structure belongs to space group P-1 (No. 2); the cell edges are 4.140, 4.695 and 4.939 Å and the angles 67.04°, 65.40° and 63.99°. The inequivalent atoms are Co at (0.000, 0.000, 0.000), Mo at (0.187, 0.272, 0.352) and Ir at (0.472, 0.296, 0.760).

---

Quick one: least stable of them? *one*

---

*one*
DFT (PBE-GGA) results for Co2MoIr2 after structural relaxation.

For the density of states at the Fermi level, the calculation gives 6.344 states/eV/f.u. The value obtained for the volume is 67 Å³/f.u.

The structure belongs to space group P4/mbm (No. 127); the cell edges are 7.027, 7.027 and 2.708 Å and the angles 90.00°, 90.00° and 90.00°. The inequivalent atoms are Co at (0.121, 0.379, 0.000), Mo at (0.000, 0.000, 0.000) and Ir at (0.175, 0.675, 0.500).

---

*two*
DFT (PBE-GGA) results for Co2MoIr2 after structural relaxation.

For the density of states at the Fermi level, the calculation gives 5.983 states/eV/f.u. The value obtained for the volume is 68 Å³/f.u.

The structure belongs to space group P4/mbm (No. 127); the cell edges are 7.119, 7.119 and 2.701 Å and the angles 90.00°, 90.00° and 90.00°. The inequivalent atoms are Co at (0.169, 0.331, 0.000), Mo at (0.000, 0.000, 0.500) and Ir at (0.130, 0.630, 0.500).

---

Quick one: least stable of them? *two*

---

*one*
DFT (PBE-GGA) results for CoIrS2N after structural relaxation.

For the density of states at the Fermi level, the calculation gives 2.905 states/eV/f.u. The value obtained for the volume is 86 Å³/f.u.

The structure belongs to space group P4/mmm (No. 123); the cell edges are 4.864, 4.864 and 3.626 Å and the angles 90.00°, 90.00° and 90.00°. The inequivalent atoms are Co at (0.000, 0.000, 0.000), Ir at (0.500, 0.500, 0.500), S at (0.000, 0.500, 0.500) and N at (0.500, 0.500, 0.000).

---

*two*
DFT (PBE-GGA) results for CoIrS2N after structural relaxation.

For the density of states at the Fermi level, the calculation gives 3.032 states/eV/f.u. The value obtained for the volume is 69 Å³/f.u.

The structure belongs to space group P4/mmm (No. 123); the cell edges are 4.575, 4.575 and 3.285 Å and the angles 90.00°, 90.00° and 90.00°. The inequivalent atoms are Co at (0.000, 0.000, 0.000), Ir at (0.500, 0.500, 0.500), S at (0.000, 0.500, 0.000) and N at (0.000, 0.000, 0.500).

---

Quick one: least stable of them? *one*

---

*one*
DFT (PBE-GGA) results for CoTc2IrN after structural relaxation.

For the density of states at the Fermi level, the calculation gives 7.405 states/eV/f.u. The value obtained for the volume is 89 Å³/f.u.

The structure belongs to space group P4/mmm (No. 123); the cell edges are 4.965, 4.965 and 3.611 Å and the angles 90.00°, 90.00° and 90.00°. The inequivalent atoms are Co at (0.000, 0.000, 0.000), Tc at (0.000, 0.500, 0.500), Ir at (0.500, 0.500, 0.500) and N at (0.500, 0.500, 0.000).

---

*two*
DFT (PBE-GGA) results for CoTc2IrN after structural relaxation.

For the density of states at the Fermi level, the calculation gives 4.748 states/eV/f.u. The value obtained for the volume is 62 Å³/f.u.

The structure belongs to space group P4/mmm (No. 123); the cell edges are 3.991, 3.991 and 3.864 Å and the angles 90.00°, 90.00° and 90.00°. The inequivalent atoms are Co at (0.000, 0.000, 0.000), Tc at (0.000, 0.500, 0.500), Ir at (0.500, 0.500, 0.000) and N at (0.000, 0.000, 0.500).

---

Quick one: least stable of them? *one*